Density functional theory data (SCAN) for a PBEsol-optimized structure of NiMoF3.

The energy relative to the elements, uncorrected comes out at -1.16 eV per atom. The calculation puts the density of states at the Fermi level at 3.6 states/eV/f.u.

The space group is Pm-3m (No. 221) and the conventional cell measures 3.9900, 3.9900 and 3.9900 Å, with angles of 90.00, 90.00 and 90.00 degrees. Symmetry generates all atoms from Ni at (0.0000, 0.0000, 0.0000), Mo at (0.5000, 0.5000, 0.5000) and F at (0.0000, 0.0000, 0.5000).